Density functional theory data (GGA-PBE) for a relaxed structure of NaSeSN2.

```
NaSeSN2
1.0
3.792 0.000 0.000
0.000 3.792 0.000
0.000 0.000 5.124
Na Se S N
1 1 1 2
direct
0.000 0.000 0.000 Na
0.500 0.500 0.000 Se
0.500 0.500 0.500 S
0.000 0.500 0.500 N
0.500 0.000 0.500 N
```

Calculated values
* excess energy over the best structure of this formula in the dataset: 110.5 meV/atom
* Fermi-level density of states: 2.87 states/eV/cell


Density functional theory data (GGA-PBE) for a relaxed structure of NaSeS2N.

```
NaSeS2N
1.0
5.041 0.000 0.000
0.000 5.041 0.000
0.000 0.000 4.213
Na Se S N
1 1 2 1
direct
0.000 0.000 0.000 Na
0.500 0.500 0.500 Se
0.000 0.500 0.000 S
0.500 0.000 0.000 S
0.000 0.000 0.500 N
```

Calculated values
* excess energy over the best structure of this formula in the dataset: 944.8 meV/atom
* Fermi-level density of states: 4.44 states/eV/cell


Formation energy without anion corrections readings, ordered: 1.2795; 1.5937 eV per atom